(1)
6
Lattice="0.000 3.782 3.782 3.782 0.000 3.782 3.782 3.782 0.000" Properties=species:S:1:pos:R:3 comment="PBE Ta4MoPt, optimized geometry" ef_ev_per_atom=0.279 pbc="T T T"
Ta 0.936 0.936 0.936
Ta 2.846 2.846 0.936
Ta 2.846 0.936 2.846
Ta 0.936 2.846 2.846
Mo 5.672 5.672 5.672
Pt 3.782 3.782 3.782

***

(2)
6
Lattice="4.520 0.000 0.000 -2.260 3.915 0.000 0.000 0.000 5.574" Properties=species:S:1:pos:R:3 comment="PBE TaMoPt, optimized geometry" ef_ev_per_atom=-0.296 de_polymorph_kcal_per_mol_atoms=1.15 pbc="T T T"
Ta 0.000 0.000 0.000
Ta 0.000 2.610 2.008
Mo 0.000 2.610 4.849
Mo 2.260 1.305 1.078
Pt 0.000 0.000 2.722
Pt 2.260 1.305 3.875

***

(3)
3
Lattice="4.615 0.000 0.000 -2.308 3.997 0.000 0.000 0.000 2.704" Properties=species:S:1:pos:R:3 comment="PBE TaMoPt, optimized geometry" ef_ev_per_atom=-0.130 de_polymorph_kcal_per_mol_atoms=4.97 pbc="T T T"
Ta 0.000 0.000 0.000
Mo 0.000 2.665 1.352
Pt 2.308 1.332 0.000

***

(4)
6
Lattice="3.271 0.000 0.000 0.000 3.271 0.000 0.000 0.000 9.500" Properties=species:S:1:pos:R:3 comment="PBE Ta3Mo2Pt, optimized geometry" ef_ev_per_atom=-0.323 pbc="T T T"
Ta 0.000 0.000 0.000
Ta 0.000 0.000 3.108
Ta 0.000 0.000 6.392
Mo 1.636 1.636 1.627
Mo 1.636 1.636 7.874
Pt 1.636 1.636 4.750

***

(5)
4
Lattice="0.000 3.202 3.202 3.202 0.000 3.202 3.202 3.202 0.000" Properties=species:S:1:pos:R:3 comment="PBE TaMo2Pt, optimized geometry" ef_ev_per_atom=-0.060 de_polymorph_kcal_per_mol_atoms=3.26 pbc="T T T"
Ta 0.000 0.000 0.000
Mo 1.601 1.601 1.601
Mo 3.202 3.202 3.202
Pt 4.803 4.803 4.803

***

(6)
4
Lattice="1.697 -2.187 0.000 1.697 2.187 0.000 0.000 0.000 8.775" Properties=species:S:1:pos:R:3 comment="PBE TaMo2Pt, optimized geometry" ef_ev_per_atom=-0.184 de_polymorph_kcal_per_mol_atoms=0.41 pbc="T T T"
Ta 0.000 0.000 0.000
Mo 0.000 0.000 4.329
Mo 1.697 0.000 6.510
Pt 1.697 0.000 2.176

***

(7)
6
Lattice="2.777 0.000 0.000 1.348 5.363 0.000 0.545 1.267 6.624" Properties=species:S:1:pos:R:3 comment="PBE TaMoPt, optimized geometry" ef_ev_per_atom=-0.314 de_polymorph_kcal_per_mol_atoms=0.73 pbc="T T T"
Ta 0.000 0.000 0.000
Ta 1.728 2.821 4.303
Mo 0.642 1.136 2.434
Mo 1.901 2.478 0.185
Pt 3.321 5.324 4.607
Pt 3.192 3.992 2.134

***

(8)
6
Lattice="4.720 -1.962 0.000 4.720 1.962 0.000 -2.155 0.000 5.334" Properties=species:S:1:pos:R:3 comment="PBE TaMoPt, optimized geometry" ef_ev_per_atom=-0.302 de_polymorph_kcal_per_mol_atoms=1.00 pbc="T T T"
Ta 0.000 0.000 0.000
Ta 4.555 0.000 4.325
Mo 2.783 0.000 0.967
Mo 8.305 0.000 2.582
Pt 1.690 0.000 3.545
Pt 5.609 0.000 1.702

***

(9)
8
Lattice="-3.602 3.602 2.710 3.602 -3.602 2.710 3.602 3.602 -2.710" Properties=species:S:1:pos:R:3 comment="PBE TaMoPt2, optimized geometry" ef_ev_per_atom=0.071 de_polymorph_kcal_per_mol_atoms=13.62 pbc="T T T"
Ta 0.000 0.000 0.000
Ta 0.000 3.602 1.355
Mo 3.602 0.000 1.355
Mo 0.000 0.000 2.710
Pt 1.801 1.778 -0.678
Pt 1.824 -1.801 3.388
Pt 1.801 1.824 2.033
Pt 1.778 5.404 0.678

***

(10)
4
Lattice="2.803 0.000 0.000 0.000 2.803 0.000 0.000 0.000 8.266" Properties=species:S:1:pos:R:3 comment="PBE TaMoPt2, optimized geometry" ef_ev_per_atom=-0.356 de_polymorph_kcal_per_mol_atoms=3.77 pbc="T T T"
Ta 0.000 0.000 0.000
Mo 1.402 1.402 2.224
Pt 0.000 0.000 4.121
Pt 1.402 1.402 6.279

***

(11)
3
Lattice="-1.385 1.385 6.401 1.385 -1.385 6.401 1.385 1.385 -6.401" Properties=species:S:1:pos:R:3 comment="PBE TaMoPt, optimized geometry" ef_ev_per_atom=-0.317 de_polymorph_kcal_per_mol_atoms=0.65 pbc="T T T"
Ta 0.000 0.000 0.000
Mo 0.000 0.000 4.148
Pt 0.000 0.000 8.516

***

(12)
6
Lattice="4.460 -2.081 0.000 4.460 2.081 0.000 -1.919 0.000 5.301" Properties=species:S:1:pos:R:3 comment="PBE TaMoPt, optimized geometry" ef_ev_per_atom=-0.346 de_polymorph_kcal_per_mol_atoms=0.00 pbc="T T T"
Ta 0.000 0.000 0.000
Ta 5.497 0.000 1.892
Mo 1.937 0.000 3.607
Mo 4.444 0.000 4.457
Pt -0.756 0.000 2.669
Pt 2.739 0.000 0.947

***

(13)
4
Lattice="2.736 0.000 0.000 0.000 4.624 0.000 -0.864 0.000 5.163" Properties=species:S:1:pos:R:3 comment="PBE TaMo2Pt, optimized geometry" ef_ev_per_atom=-0.087 de_polymorph_kcal_per_mol_atoms=2.64 pbc="T T T"
Ta 0.000 0.000 0.000
Mo 0.012 2.312 3.919
Mo 1.860 2.312 1.245
Pt 0.936 0.000 2.582

***

(14)
6
Lattice="3.826 0.000 0.000 0.000 2.077 6.191 0.000 -2.077 6.191" Properties=species:S:1:pos:R:3 comment="PBE TaMoPt, optimized geometry" ef_ev_per_atom=-0.325 de_polymorph_kcal_per_mol_atoms=0.48 pbc="T T T"
Ta 0.000 0.000 0.000
Ta 1.913 0.000 2.206
Mo 0.000 0.000 8.505
Mo 1.913 0.000 10.502
Pt 0.000 0.000 4.303
Pt 1.913 0.000 6.320

***

(15)
4
Lattice="3.870 0.000 0.000 0.000 3.925 0.000 0.000 0.000 4.285" Properties=species:S:1:pos:R:3 comment="PBE TaMo2Pt, optimized geometry" ef_ev_per_atom=-0.202 de_polymorph_kcal_per_mol_atoms=0.00 pbc="T T T"
Ta 0.000 0.000 0.000
Mo 0.000 1.962 2.142
Mo 1.935 0.000 2.142
Pt 1.935 1.962 0.000

***

(16)
4
Lattice="2.741 0.000 0.000 0.000 2.741 0.000 0.000 0.000 8.713" Properties=species:S:1:pos:R:3 comment="PBE TaMo2Pt, optimized geometry" ef_ev_per_atom=-0.124 de_polymorph_kcal_per_mol_atoms=1.79 pbc="T T T"
Ta 0.000 0.000 0.000
Mo 0.000 0.000 4.544
Mo 1.371 1.371 2.287
Pt 1.371 1.371 6.577

***

(17)
4
Lattice="0.000 3.192 3.192 3.192 0.000 3.192 3.192 3.192 0.000" Properties=species:S:1:pos:R:3 comment="PBE TaMoPt2, optimized geometry" ef_ev_per_atom=-0.212 de_polymorph_kcal_per_mol_atoms=7.10 pbc="T T T"
Ta 0.000 0.000 0.000
Mo 4.789 4.789 4.789
Pt 1.596 1.596 1.596
Pt 3.192 3.192 3.192

***

(18)
4
Lattice="2.780 -4.109 0.000 2.780 4.109 0.000 0.000 0.000 2.792" Properties=species:S:1:pos:R:3 comment="PBE TaMoPt2, optimized geometry" ef_ev_per_atom=-0.488 de_polymorph_kcal_per_mol_atoms=0.74 pbc="T T T"
Ta 0.000 0.000 0.000
Mo 2.780 0.000 0.000
Pt 1.390 2.055 1.396
Pt 1.390 -2.055 1.396

***

(19)
4
Lattice="4.723 -1.425 0.000 4.723 1.425 0.000 -0.872 0.000 4.799" Properties=species:S:1:pos:R:3 comment="PBE TaMoPt2, optimized geometry" ef_ev_per_atom=-0.273 de_polymorph_kcal_per_mol_atoms=5.71 pbc="T T T"
Ta 0.000 0.000 0.000
Mo 4.286 0.000 2.399
Pt 1.697 0.000 3.585
Pt 6.876 0.000 1.214

***

(20)
4
Lattice="3.926 0.000 0.000 0.000 3.926 0.000 0.000 0.000 4.131" Properties=species:S:1:pos:R:3 comment="PBE TaMoPt2, optimized geometry" ef_ev_per_atom=-0.519 de_polymorph_kcal_per_mol_atoms=0.01 pbc="T T T"
Ta 0.000 0.000 0.000
Mo 1.963 1.963 0.000
Pt 0.000 1.963 2.066
Pt 1.963 0.000 2.066

***

(21)
4
Lattice="0.000 3.202 3.202 3.202 0.000 3.202 3.202 3.202 0.000" Properties=species:S:1:pos:R:3 comment="PBE TaMo2Pt, optimized geometry" ef_ev_per_atom=0.061 de_polymorph_kcal_per_mol_atoms=6.05 pbc="T T T"
Ta 0.000 0.000 0.000
Mo 1.601 1.601 1.601
Mo 4.803 4.803 4.803
Pt 3.202 3.202 3.202

***

(22)
3
Lattice="2.830 0.000 0.000 -1.415 2.451 0.000 0.000 0.000 7.173" Properties=species:S:1:pos:R:3 comment="PBE TaMoPt, optimized geometry" ef_ev_per_atom=-0.076 de_polymorph_kcal_per_mol_atoms=6.22 pbc="T T T"
Ta 0.000 0.000 0.000
Mo 1.415 0.817 2.514
Pt 0.000 1.634 4.842

***

(23)
4
Lattice="0.000 3.213 3.213 3.213 0.000 3.213 3.213 3.213 0.000" Properties=species:S:1:pos:R:3 comment="PBE TaMoPt2, optimized geometry" ef_ev_per_atom=-0.066 de_polymorph_kcal_per_mol_atoms=10.46 pbc="T T T"
Ta 0.000 0.000 0.000
Mo 3.213 3.213 3.213
Pt 1.606 1.606 1.606
Pt 4.819 4.819 4.819

***

(24)
4
Lattice="3.472 0.000 0.000 0.000 3.472 0.000 0.000 0.000 5.465" Properties=species:S:1:pos:R:3 comment="PBE TaMoPt2, optimized geometry" ef_ev_per_atom=-0.287 de_polymorph_kcal_per_mol_atoms=5.38 pbc="T T T"
Ta 0.000 0.000 0.000
Mo 0.000 0.000 2.733
Pt 1.736 1.736 1.372
Pt 1.736 1.736 4.094

***

(25)
6
Lattice="2.213 1.277 6.402 -2.213 1.277 6.402 0.000 -2.555 6.402" Properties=species:S:1:pos:R:3 comment="PBE TaMoPt, optimized geometry" ef_ev_per_atom=0.103 de_polymorph_kcal_per_mol_atoms=10.34 pbc="T T T"
Ta 0.000 0.000 1.370
Ta 0.000 0.000 17.834
Mo 0.000 0.000 3.898
Mo 0.000 0.000 15.306
Pt 0.000 0.000 7.010
Pt 0.000 0.000 12.195

***

(26)
4
Lattice="2.786 0.000 0.000 0.000 4.567 0.000 0.000 0.000 5.008" Properties=species:S:1:pos:R:3 comment="PBE TaMoPt2, optimized geometry" ef_ev_per_atom=-0.520 de_polymorph_kcal_per_mol_atoms=0.00 pbc="T T T"
Ta 0.000 0.000 0.000
Mo 0.000 2.284 3.302
Pt 1.393 0.000 2.538
Pt 1.393 2.284 0.848

***

(27)
3
Lattice="0.000 3.076 3.076 3.076 0.000 3.076 3.076 3.076 0.000" Properties=species:S:1:pos:R:3 comment="PBE TaMoPt, optimized geometry" ef_ev_per_atom=0.387 de_polymorph_kcal_per_mol_atoms=16.88 pbc="T T T"
Ta 0.000 0.000 0.000
Mo 3.076 3.076 3.076
Pt 4.614 4.614 4.614

***

(28)
4
Lattice="0.000 3.170 3.170 3.170 0.000 3.170 3.170 3.170 0.000" Properties=species:S:1:pos:R:3 comment="PBE TaZnMoPt, optimized geometry" ef_ev_per_atom=-0.152 pbc="T T T"
Ta 0.000 0.000 0.000
Zn 3.170 3.170 3.170
Mo 1.585 1.585 1.585
Pt 4.755 4.755 4.755

***

(29)
5
Lattice="4.799 0.000 0.000 0.000 4.799 0.000 0.000 0.000 4.499" Properties=species:S:1:pos:R:3 comment="PBE TaZnMo2Pt, optimized geometry" ef_ev_per_atom=1.452 pbc="T T T"
Ta 0.000 0.000 0.000
Zn 2.399 2.399 0.000
Mo 0.000 2.399 2.249
Mo 2.399 0.000 2.249
Pt 2.399 2.399 2.249